Entry from Alexandria: an optimized crystal structure of TaS2 (PBE-GGA).

abc: 3.376 3.376 6.660
angles: 90.00 90.00 120.00
Atoms (fractional coordinates):
Ta 0.000 0.000 0.000
S 0.333 0.667 0.231
S 0.667 0.333 0.769

* VASP energy: -7.733 eV per atom
* formation energy (no corrections): -99.4 kJ per mole of atoms
* N(E_F): 0.545 states/eV per atom